[1]
Density functional theory data (PBE) for an optimized crystal structure of Pr2YBr8.

Values from the calculation:
- E_form (uncorrected): -1.625 eV per atom
- Space-group type: C2/m, No. 12
- Total magnetization: 0.10 μB per atom

Geometry as CIF:
```
data_Pr2YBr8
_chemical_formula_sum 'Pr2 Y1 Br8'
_space_group_name_H-M_alt 'P 1'
_space_group_IT_number 1
_space_group_name_Hall 'P 1'
_cell_length_a 7.955
_cell_length_b 7.955
_cell_length_c 6.257
_cell_angle_alpha 100.05
_cell_angle_beta 100.05
_cell_angle_gamma 112.86
loop_
_atom_site_label
_atom_site_type_symbol
_atom_site_fract_x
_atom_site_fract_y
_atom_site_fract_z
_atom_site_occupancy
Pr1 Pr 0.192 0.808 0.000 1
Pr2 Pr 0.808 0.192 0.000 1
Y1 Y 0.500 0.500 0.500 1
Br1 Br 0.145 0.145 0.313 1
Br2 Br 0.161 0.420 0.893 1
Br3 Br 0.286 0.714 0.500 1
Br4 Br 0.420 0.161 0.893 1
Br5 Br 0.580 0.839 0.107 1
Br6 Br 0.714 0.286 0.500 1
Br7 Br 0.839 0.580 0.107 1
Br8 Br 0.855 0.855 0.687 1
```

---

[2]
Density functional theory data (PBE) for an optimized crystal structure of PrYBr5.

Values from the calculation:
- E_form (uncorrected): -1.797 eV per atom
- Space-group type: P2_1/m, No. 11
- Total magnetization: 0.14 μB per atom

Geometry as CIF:
```
data_PrYBr5
_chemical_formula_sum 'Pr2 Y2 Br10'
_space_group_name_H-M_alt 'P 1'
_space_group_IT_number 1
_space_group_name_Hall 'P 1'
_cell_length_a 8.495
_cell_length_b 4.081
_cell_length_c 13.694
_cell_angle_alpha 90.00
_cell_angle_beta 94.07
_cell_angle_gamma 90.00
loop_
_atom_site_label
_atom_site_type_symbol
_atom_site_fract_x
_atom_site_fract_y
_atom_site_fract_z
_atom_site_occupancy
Pr1 Pr 0.101 0.250 0.153 1
Pr2 Pr 0.899 0.750 0.847 1
Y1 Y 0.418 0.750 0.345 1
Y2 Y 0.582 0.250 0.655 1
Br1 Br 0.069 0.750 0.313 1
Br2 Br 0.139 0.250 0.928 1
Br3 Br 0.323 0.250 0.482 1
Br4 Br 0.355 0.750 0.130 1
Br5 Br 0.370 0.750 0.708 1
Br6 Br 0.630 0.250 0.292 1
Br7 Br 0.645 0.250 0.870 1
Br8 Br 0.677 0.750 0.518 1
Br9 Br 0.861 0.750 0.072 1
Br10 Br 0.931 0.250 0.687 1
```

---

[3]
Density functional theory data (PBE) for an optimized crystal structure of PrYBr3.

Values from the calculation:
- Excess energy over the best structure of this formula in the dataset: 0.2104 eV/atom
- E_form (uncorrected): -1.318 eV per atom
- Space-group type: C2/c, No. 15
- Total magnetization: 0.00 μB per atom

Geometry as CIF:
```
data_PrYBr3
_chemical_formula_sum 'Pr4 Y4 Br12'
_space_group_name_H-M_alt 'P 1'
_space_group_IT_number 1
_space_group_name_Hall 'P 1'
_cell_length_a 10.353
_cell_length_b 10.353
_cell_length_c 7.054
_cell_angle_alpha 108.19
_cell_angle_beta 108.19
_cell_angle_gamma 82.23
loop_
_atom_site_label
_atom_site_type_symbol
_atom_site_fract_x
_atom_site_fract_y
_atom_site_fract_z
_atom_site_occupancy
Pr1 Pr 0.002 0.998 0.750 1
Pr2 Pr 0.366 0.634 0.250 1
Pr3 Pr 0.634 0.366 0.750 1
Pr4 Pr 0.998 0.002 0.250 1
Y1 Y 0.174 0.259 0.198 1
Y2 Y 0.259 0.174 0.698 1
Y3 Y 0.741 0.826 0.302 1
Y4 Y 0.826 0.741 0.802 1
Br1 Br 0.118 0.763 0.950 1
Br2 Br 0.120 0.543 0.289 1
Br3 Br 0.237 0.882 0.550 1
Br4 Br 0.336 0.453 0.805 1
Br5 Br 0.453 0.336 0.305 1
Br6 Br 0.457 0.880 0.211 1
Br7 Br 0.543 0.120 0.789 1
Br8 Br 0.547 0.664 0.695 1
Br9 Br 0.664 0.547 0.195 1
Br10 Br 0.763 0.118 0.450 1
Br11 Br 0.880 0.457 0.711 1
Br12 Br 0.882 0.237 0.050 1
```

---

[4]
Density functional theory data (PBE) for an optimized crystal structure of PrYBr6.

Values from the calculation:
- E_form (uncorrected): -1.828 eV per atom
- Space-group type: R-3, No. 148
- Total magnetization: 0.00 μB per atom

Geometry as CIF:
```
data_PrYBr6
_chemical_formula_sum 'Pr1 Y1 Br6'
_space_group_name_H-M_alt 'P 1'
_space_group_IT_number 1
_space_group_name_Hall 'P 1'
_cell_length_a 7.753
_cell_length_b 7.753
_cell_length_c 7.753
_cell_angle_alpha 55.08
_cell_angle_beta 55.08
_cell_angle_gamma 55.08
loop_
_atom_site_label
_atom_site_type_symbol
_atom_site_fract_x
_atom_site_fract_y
_atom_site_fract_z
_atom_site_occupancy
Pr1 Pr 0.000 0.000 0.000 1
Y1 Y 0.500 0.500 0.500 1
Br1 Br 0.096 0.743 0.416 1
Br2 Br 0.257 0.584 0.904 1
Br3 Br 0.416 0.096 0.743 1
Br4 Br 0.584 0.904 0.257 1
Br5 Br 0.743 0.416 0.096 1
Br6 Br 0.904 0.257 0.584 1
```

---

[5]
Density functional theory data (PBE) for an optimized crystal structure of PrYBr2.

Values from the calculation:
- Excess energy over the best structure of this formula in the dataset: 0.0000 eV/atom
- E_form (uncorrected): -1.076 eV per atom
- Space-group type: R-3m, No. 166
- Total magnetization: 0.00 μB per atom

Geometry as CIF:
```
data_PrYBr2
_chemical_formula_sum 'Pr1 Y1 Br2'
_space_group_name_H-M_alt 'P 1'
_space_group_IT_number 1
_space_group_name_Hall 'P 1'
_cell_length_a 10.369
_cell_length_b 10.369
_cell_length_c 10.369
_cell_angle_alpha 20.91
_cell_angle_beta 20.91
_cell_angle_gamma 20.91
loop_
_atom_site_label
_atom_site_type_symbol
_atom_site_fract_x
_atom_site_fract_y
_atom_site_fract_z
_atom_site_occupancy
Pr1 Pr 0.000 0.000 0.000 1
Y1 Y 0.500 0.500 0.500 1
Br1 Br 0.406 0.406 0.406 1
Br2 Br 0.594 0.594 0.594 1
```

---

[6]
Density functional theory data (PBE) for an optimized crystal structure of PrYBr2.

Values from the calculation:
- Excess energy over the best structure of this formula in the dataset: 0.0051 eV/atom
- E_form (uncorrected): -1.071 eV per atom
- Space-group type: R3m, No. 160
- Total magnetization: 0.00 μB per atom

Geometry as CIF:
```
data_PrYBr2
_chemical_formula_sum 'Pr1 Y1 Br2'
_space_group_name_H-M_alt 'P 1'
_space_group_IT_number 1
_space_group_name_Hall 'P 1'
_cell_length_a 9.617
_cell_length_b 9.617
_cell_length_c 9.617
_cell_angle_alpha 21.96
_cell_angle_beta 21.96
_cell_angle_gamma 21.96
loop_
_atom_site_label
_atom_site_type_symbol
_atom_site_fract_x
_atom_site_fract_y
_atom_site_fract_z
_atom_site_occupancy
Pr1 Pr 0.000 0.000 0.000 1
Y1 Y 0.836 0.836 0.836 1
Br1 Br 0.250 0.250 0.250 1
Br2 Br 0.420 0.420 0.420 1
```

---

[7]
Density functional theory data (PBE) for an optimized crystal structure of PrYBr3.

Values from the calculation:
- Excess energy over the best structure of this formula in the dataset: 0.0000 eV/atom
- E_form (uncorrected): -1.528 eV per atom
- Space-group type: C2/m, No. 12
- Total magnetization: 0.00 μB per atom

Geometry as CIF:
```
data_PrYBr3
_chemical_formula_sum 'Pr2 Y2 Br6'
_space_group_name_H-M_alt 'P 1'
_space_group_IT_number 1
_space_group_name_Hall 'P 1'
_cell_length_a 9.392
_cell_length_b 9.392
_cell_length_c 11.665
_cell_angle_alpha 122.65
_cell_angle_beta 122.65
_cell_angle_gamma 24.45
loop_
_atom_site_label
_atom_site_type_symbol
_atom_site_fract_x
_atom_site_fract_y
_atom_site_fract_z
_atom_site_occupancy
Pr1 Pr 0.139 0.139 0.287 1
Pr2 Pr 0.861 0.861 0.713 1
Y1 Y 0.427 0.427 0.042 1
Y2 Y 0.573 0.573 0.958 1
Br1 Br 0.038 0.038 0.751 1
Br2 Br 0.212 0.212 0.114 1
Br3 Br 0.337 0.337 0.491 1
Br4 Br 0.663 0.663 0.509 1
Br5 Br 0.788 0.788 0.886 1
Br6 Br 0.962 0.962 0.249 1
```

---

[8]
Density functional theory data (PBE) for an optimized crystal structure of PrYBr4.

Values from the calculation:
- E_form (uncorrected): -1.636 eV per atom
- Space-group type: P2/m, No. 10
- Total magnetization: 0.00 μB per atom

Geometry as CIF:
```
data_PrYBr4
_chemical_formula_sum 'Pr1 Y1 Br4'
_space_group_name_H-M_alt 'P 1'
_space_group_IT_number 1
_space_group_name_Hall 'P 1'
_cell_length_a 6.937
_cell_length_b 3.959
_cell_length_c 7.824
_cell_angle_alpha 90.00
_cell_angle_beta 106.55
_cell_angle_gamma 90.00
loop_
_atom_site_label
_atom_site_type_symbol
_atom_site_fract_x
_atom_site_fract_y
_atom_site_fract_z
_atom_site_occupancy
Pr1 Pr 0.000 0.000 0.000 1
Y1 Y 0.500 0.500 0.000 1
Br1 Br 0.265 0.500 0.252 1
Br2 Br 0.268 0.000 0.759 1
Br3 Br 0.732 0.000 0.241 1
Br4 Br 0.735 0.500 0.748 1
```

---

[9]
Density functional theory data (PBE) for an optimized crystal structure of Pr2ZnBr.

Values from the calculation:
- Excess energy over the best structure of this formula in the dataset: 0.0000 eV/atom
- E_form (uncorrected): -0.712 eV per atom
- Space-group type: R-3m, No. 166
- Total magnetization: 0.00 μB per atom

Geometry as CIF:
```
data_Pr2ZnBr
_chemical_formula_sum 'Pr2 Zn1 Br1'
_space_group_name_H-M_alt 'P 1'
_space_group_IT_number 1
_space_group_name_Hall 'P 1'
_cell_length_a 7.995
_cell_length_b 7.995
_cell_length_c 7.995
_cell_angle_alpha 30.46
_cell_angle_beta 30.46
_cell_angle_gamma 30.46
loop_
_atom_site_label
_atom_site_type_symbol
_atom_site_fract_x
_atom_site_fract_y
_atom_site_fract_z
_atom_site_occupancy
Pr1 Pr 0.245 0.245 0.245 1
Pr2 Pr 0.755 0.755 0.755 1
Zn1 Zn 0.500 0.500 0.500 1
Br1 Br 0.000 0.000 0.000 1
```

---

[10]
Density functional theory data (PBE) for an optimized crystal structure of PrZnBr.

Values from the calculation:
- E_form (uncorrected): -1.018 eV per atom
- Space-group type: R-3m, No. 166
- Total magnetization: 0.13 μB per atom

Geometry as CIF:
```
data_PrZnBr
_chemical_formula_sum 'Pr2 Zn2 Br2'
_space_group_name_H-M_alt 'P 1'
_space_group_IT_number 1
_space_group_name_Hall 'P 1'
_cell_length_a 11.871
_cell_length_b 11.871
_cell_length_c 11.871
_cell_angle_alpha 20.77
_cell_angle_beta 20.77
_cell_angle_gamma 20.77
loop_
_atom_site_label
_atom_site_type_symbol
_atom_site_fract_x
_atom_site_fract_y
_atom_site_fract_z
_atom_site_occupancy
Pr1 Pr 0.060 0.060 0.060 1
Pr2 Pr 0.940 0.940 0.940 1
Zn1 Zn 0.336 0.336 0.336 1
Zn2 Zn 0.664 0.664 0.664 1
Br1 Br 0.220 0.220 0.220 1
Br2 Br 0.780 0.780 0.780 1
```